#a
The following is a DFT calculation (PBE-GGA) of a geometry-optimized PmAlW structure. Values from VASP.

```
&SYSTEM
  ibrav = 0, nat = 3, ntyp = 3
/
ATOMIC_SPECIES
Al 26.98 Al.upf
Pm 145.00 Pm.upf
W 183.84 W.upf
CELL_PARAMETERS angstrom
-3.894 -2.312 0.986
-2.917 1.636 3.209
-4.108 1.731 -1.270
ATOMIC_POSITIONS angstrom
Al 0.000 0.000 0.000
Pm -2.730 0.264 0.731
W -8.189 0.791 2.194
```

Calculated values
Symmetry   F-43m (216)
Calculated density   8.39 Mg/m³
Volume   70.40 Å³ per cell

***

#b
The following is a DFT calculation (PBE-GGA) of a geometry-optimized PmAlW structure. Values from VASP.

```
&SYSTEM
  ibrav = 0, nat = 3, ntyp = 3
/
ATOMIC_SPECIES
Al 26.98 Al.upf
Pm 145.00 Pm.upf
W 183.84 W.upf
CELL_PARAMETERS angstrom
0.000 3.426 3.426
3.426 0.000 3.426
3.426 3.426 0.000
ATOMIC_POSITIONS angstrom
Al 1.713 1.713 1.713
Pm 0.000 0.000 0.000
W 5.140 5.140 5.140
```

Calculated values
Symmetry   F-43m (216)
Calculated density   7.34 Mg/m³
Volume   80.46 Å³ per cell

***

Stability, highest: #a

***

#a
The following is a DFT calculation (PBE-GGA) of a geometry-optimized RbPrAlTe3 structure. Values from VASP.

```
&SYSTEM
  ibrav = 0, nat = 24, ntyp = 4
/
ATOMIC_SPECIES
Al 26.98 Al.upf
Pr 140.91 Pr.upf
Rb 85.47 Rb.upf
Te 127.60 Te.upf
CELL_PARAMETERS angstrom
12.487 0.000 0.000
0.000 5.036 0.000
0.000 0.000 13.579
ATOMIC_POSITIONS angstrom
Al 2.999 3.777 2.989
Al 9.242 3.777 3.801
Al 3.245 1.259 9.779
Al 9.488 1.259 10.590
Pr 12.146 1.259 2.349
Pr 5.902 1.259 4.441
Pr 6.584 3.777 9.139
Pr 0.341 3.777 11.230
Rb 4.012 1.259 0.058
Rb 10.256 1.259 6.732
Rb 2.231 3.777 6.847
Rb 8.474 3.777 13.522
Te 1.243 3.777 0.868
Te 5.591 3.777 2.311
Te 8.861 1.259 2.758
Te 2.618 1.259 4.031
Te 11.834 3.777 4.479
Te 7.487 3.777 5.921
Te 5.000 1.259 7.658
Te 0.652 1.259 9.101
Te 9.869 3.777 9.548
Te 3.626 3.777 10.821
Te 6.895 1.259 11.268
Te 11.243 1.259 12.711
```

Calculated values
Symmetry   Pnma (62)
Calculated density   4.95 Mg/m³
Volume   853.87 Å³ per cell

***

#b
The following is a DFT calculation (PBE-GGA) of a geometry-optimized RbPrAlTe3 structure. Values from VASP.

```
&SYSTEM
  ibrav = 0, nat = 12, ntyp = 4
/
ATOMIC_SPECIES
Al 26.98 Al.upf
Pr 140.91 Pr.upf
Rb 85.47 Rb.upf
Te 127.60 Te.upf
CELL_PARAMETERS angstrom
1.301 6.630 -4.725
-3.312 -7.543 0.339
-10.516 4.789 3.826
ATOMIC_POSITIONS angstrom
Al -3.542 1.025 -1.338
Al -8.985 2.852 0.778
Pr 0.000 0.000 0.000
Pr -5.258 2.395 1.913
Rb -4.776 -2.765 0.016
Rb -7.752 6.642 -0.577
Te -1.187 1.659 -2.550
Te -1.618 6.937 -3.451
Te -4.930 3.364 -1.189
Te -7.598 0.513 0.628
Te -10.909 -3.061 2.891
Te -11.340 2.217 1.990
```

Calculated values
Symmetry   Cmcm (63)
Calculated density   4.49 Mg/m³
Volume   470.51 Å³ per cell

***

Stability, highest: #a